1.
KScOs | PBE | relaxed

Unit cell a=3.2626 b=3.2626 c=15.1156 alpha=90.00 beta=90.00 gamma=90.00
With the nearest neighbours (Å) after each atom.
Space group I4mm (No. 107)
One atom of each set of equivalent atoms:
K 0.0000 0.0000 0.0000 x2  4 K 3.26, 4 Os 3.39
Sc 0.0000 0.0000 0.2505 x2  4 Os 2.65
Os 0.0000 0.0000 0.6642 x2  4 Sc 2.65

Its crystal system is tetragonal. The density of states at the Fermi level is 0.717 states/eV per atom. Its formation energy from the elements is 0.487 eV per atom. The calculation puts the total magnetization at 0.00 μB per cell.

2.
Tb3RuI2 | PBE | relaxed

Unit cell a=4.0414 b=5.8311 c=15.4617 alpha=90.00 beta=90.00 gamma=90.00
With the nearest neighbours (Å) after each atom.
Space group Immm (No. 71)
One atom of each set of equivalent atoms:
Tb 0.0000 0.0000 0.0000 x2  2 Ru 2.92
Tb 0.0000 0.0000 0.3852 x4  2 Ru 2.69
Ru 0.0000 0.5000 0.0000 x2  6 Tb 2.69-2.92
I 0.0000 0.5000 0.3078 x4  2 Tb 3.15

Its crystal system is orthorhombic. The uncorrected formation energy comes out at -0.693 eV per atom. The density of states at the Fermi level is 0.752 states/eV per atom. The calculation puts the total magnetization at 0.00 μB per cell.

3.
DyZnCd5 | PBE | relaxed

Unit cell a=4.6771 b=4.6771 c=7.3628 alpha=90.00 beta=90.00 gamma=90.00
With the nearest neighbours (Å) after each atom.
Space group P4/mmm (No. 123)
One atom of each set of equivalent atoms:
Dy 0.0000 0.0000 0.0000 x1  12 Cd 3.18-3.31
Zn 0.0000 0.0000 0.5000 x1  8 Cd 2.79
Cd 0.0000 0.5000 0.2935 x4  2 Zn 2.79, 1 Cd 3.04
Cd 0.5000 0.5000 0.0000 x1  8 Cd 3.18, 4 Dy 3.31

Its crystal system is tetragonal. The density of states at the Fermi level is 0.563 states/eV per atom. Its formation energy from the elements is -0.166 eV per atom. The calculation puts the total magnetization at 0.00 μB per cell.

4.
Ac3Pu4S8 | PBE | relaxed

Unit cell a=11.7085 b=11.7242 c=8.2092 alpha=90.00 beta=134.27 gamma=90.00
With the nearest neighbours (Å) after each atom.
Space group C2/m (No. 12)
One atom of each set of equivalent atoms:
Ac 0.0000 0.0000 0.0000 x2  6 S 3.03
Ac 0.2500 0.2500 0.5000 x4  6 S 2.93-2.94
Pu 0.0000 0.5000 0.0000 x2  6 S 2.83-2.85
Pu 0.0000 0.5000 0.5000 x2  6 S 2.82-2.83
Pu 0.2500 0.2500 0.0000 x4  6 S 2.93-2.94
S 0.0000 0.2584 0.0000 x4  3 Pu 2.83-2.93, 3 Ac 2.94-3.03
S 0.0000 0.2596 0.5000 x4  3 Pu 2.82-2.94, 2 Ac 2.93
S 0.2322 0.5000 0.9809 x4  4 Pu 2.83-2.93, 1 Ac 3.03
S 0.2339 0.5000 0.4855 x4  2 Pu 2.82-2.85, 3 Ac 2.93-3.03

Its crystal system is monoclinic. The uncorrected formation energy comes out at -1.826 eV per atom. The density of states at the Fermi level is 2.354 states/eV per atom. The calculation puts the total magnetization at 45.91 μB per cell.

5.
LiBiTe2N | PBE | relaxed

Unit cell a=5.4581 b=5.4581 c=3.9026 alpha=90.00 beta=90.00 gamma=90.00
With the nearest neighbours (Å) after each atom.
Space group P4/mmm (No. 123)
One atom of each set of equivalent atoms:
Li 0.0000 0.0000 0.0000 x1  2 N 1.95
Bi 0.5000 0.5000 0.5000 x1  8 Te 3.35
Te 0.0000 0.5000 0.0000 x2  2 Li 2.73
N 0.0000 0.0000 0.5000 x1  2 Li 1.95

Its crystal system is tetragonal. The uncorrected formation energy comes out at 0.664 eV per atom. The density of states at the Fermi level is 0.826 states/eV per atom. The calculation puts the total magnetization at 1.97 μB per cell.

6.
CaDyTm2 | PBE | relaxed

Unit cell a=5.0482 b=5.0482 c=5.0753 alpha=90.00 beta=90.00 gamma=90.00
With the nearest neighbours (Å) after each atom.
Space group P4/mmm (No. 123)
One atom of each set of equivalent atoms:
Ca 0.0000 0.0000 0.0000 x1  4 Dy 3.57, 8 Tm 3.58
Dy 0.5000 0.5000 0.0000 x1  4 Ca 3.57, 8 Tm 3.58
Tm 0.0000 0.5000 0.5000 x2  4 Tm 3.57, 4 Dy 3.58, 4 Ca 3.58

Its crystal system is tetragonal. The density of states at the Fermi level is 1.783 states/eV per atom. Its formation energy from the elements is 0.153 eV per atom. The calculation puts the total magnetization at 0.00 μB per cell.

7.
Tb8Al2Pt | PBE | relaxed

Unit cell a=18.7480 b=5.0144 c=6.6373 alpha=90.00 beta=103.17 gamma=90.00
With the nearest neighbours (Å) after each atom.
Space group C2/m (No. 12)
One atom of each set of equivalent atoms:
Tb 0.0228 0.0000 0.2780 x4  2 Pt 2.99, 1 Al 3.12, 1 Tb 3.25
Tb 0.0925 0.5000 0.9556 x4  1 Pt 3.12, 3 Tb 3.39-3.44, 2 Al 3.43
Tb 0.1510 0.5000 0.4776 x4  1 Pt 2.87, 3 Al 3.07-3.15
Tb 0.2123 0.0000 0.8093 x4  3 Al 3.09-3.22, 2 Tb 3.36
Al 0.1871 0.0000 0.2537 x4  9 Tb 3.07-3.43
Pt 0.0000 0.5000 0.5000 x2  8 Tb 2.87-3.12

Its crystal system is monoclinic. The density of states at the Fermi level is 1.008 states/eV per atom. Its formation energy from the elements is -0.359 eV per atom. The calculation puts the total magnetization at 0.00 μB per cell.

8.
Sm2CuRuC | PBE | relaxed

Unit cell a=5.0887 b=5.0887 c=3.8720 alpha=90.00 beta=90.00 gamma=90.00
With the nearest neighbours (Å) after each atom.
Space group P4/mmm (No. 123)
One atom of each set of equivalent atoms:
Sm 0.0000 0.5000 0.0000 x2  2 C 2.54
Cu 0.0000 0.0000 0.5000 x1  8 Sm 3.20
Ru 0.5000 0.5000 0.5000 x1  2 C 1.94
C 0.5000 0.5000 0.0000 x1  2 Ru 1.94

Its crystal system is tetragonal. The density of states at the Fermi level is 0.610 states/eV per atom. Its formation energy from the elements is -0.227 eV per atom. The calculation puts the total magnetization at 0.00 μB per cell.

| no. | total DFT energy (no corrections) (eV/cell) |
| --- | --- |
| 1 | -34.394 |
| 2 | -60.855 |
| 3 | -11.617 |
| 4 | -260.139 |
| 5 | -17.083 |
| 6 | -14.936 |
| 7 | -109.044 |
| 8 | -33.168 |